Density functional theory data (PBE-GGA) for crystalline Pr3Ga3Ru at its relaxed geometry.

Structure (CIF):
```
data_Pr3Ga3Ru
_chemical_formula_sum 'Pr6 Ga6 Ru2'
_cell_length_a 6.086
_cell_length_b 6.086
_cell_length_c 14.974
_cell_angle_alpha 106.24
_cell_angle_beta 106.24
_cell_angle_gamma 40.33
_symmetry_space_group_name_H-M 'P 1'
_symmetry_Int_Tables_number 1
loop_
_symmetry_equiv_pos_as_xyz
'x,y,z'
loop_
_atom_site_label
_atom_site_type_symbol
_atom_site_fract_x
_atom_site_fract_y
_atom_site_fract_z
_atom_site_occupancy
Pr1 Pr 0.023 0.023 0.386 1
Pr2 Pr 0.116 0.116 0.921 1
Pr3 Pr 0.237 0.237 0.238 1
Pr4 Pr 0.763 0.763 0.762 1
Pr5 Pr 0.884 0.884 0.079 1
Pr6 Pr 0.977 0.977 0.614 1
Ga1 Ga 0.332 0.332 0.463 1
Ga2 Ga 0.400 0.400 0.926 1
Ga3 Ga 0.472 0.472 0.770 1
Ga4 Ga 0.528 0.528 0.230 1
Ga5 Ga 0.600 0.600 0.074 1
Ga6 Ga 0.668 0.668 0.537 1
Ru1 Ru 0.272 0.272 0.620 1
Ru2 Ru 0.728 0.728 0.380 1
```

- Total energy: -5.189 eV per atom
- Formation enthalpy at 0 K: -519 meV/atom